Record 1
Material: KMgTeIr
Method: DFT, PBE
State: optimized geometry

a b c (Å): 5.062 5.062 5.062
angles (deg): 60.00 60.00 60.00
Sites, in units of the cell vectors:
K 0.250 0.250 0.250
Mg 0.750 0.750 0.750
Ir 0.000 0.000 0.000
Te 0.500 0.500 0.500

Computed properties:
Energy relative to the lowest polymorph listed for this composition, eV/atom: 0.238


Record 2
Material: KErIn
Method: DFT, PBE
State: optimized geometry

a b c (Å): 5.486 5.486 5.486
angles (deg): 60.00 60.00 60.00
Sites, in units of the cell vectors:
K 0.000 0.000 0.000
Er 0.500 0.500 0.500
In 0.250 0.250 0.250

Computed properties:
Energy relative to the lowest polymorph listed for this composition, eV/atom: 0.342


Record 3
Material: Y2HoNiSn3Pt2
Method: DFT, PBE
State: optimized geometry

a b c (Å): 3.920 7.505 7.505
angles (deg): 119.87 90.00 90.00
Sites, in units of the cell vectors:
Sn 0.500 0.751 0.000
Y 0.000 0.000 0.405
Ni 0.000 0.999 0.999
Pt 0.500 0.335 0.666
Sn 0.500 0.000 0.751
Ho 0.000 0.595 0.595
Pt 0.500 0.666 0.335
Sn 0.500 0.249 0.249
Y 0.000 0.405 0.000

Computed properties:
Calculated total energy, eV/atom: -6.230


Record 4
Material: PrAl
Method: DFT, PBE
State: optimized geometry

a b c (Å): 6.051 5.760 6.051
angles (deg): 90.00 101.14 90.00
Sites, in units of the cell vectors:
Pr 0.661 0.750 0.520
Al 0.802 0.250 0.302
Pr 0.020 0.750 0.160
Al 0.500 0.000 0.000
Pr 0.980 0.250 0.840
Pr 0.339 0.250 0.480
Al 0.198 0.750 0.698
Al 0.500 0.500 0.000

Computed properties:
Calculated total energy, eV/atom: -4.650


Record 5
Material: CdNiAsPt
Method: DFT, PBE
State: optimized geometry

a b c (Å): 4.489 4.489 4.489
angles (deg): 60.00 60.00 60.00
Sites, in units of the cell vectors:
Cd 0.500 0.500 0.500
As 0.000 0.000 0.000
Ni 0.750 0.750 0.750
Pt 0.250 0.250 0.250

Computed properties:
Calculated total energy, eV/atom: -4.305


Record 6
Material: NdErCI
Method: DFT, PBE
State: optimized geometry

a b c (Å): 7.889 7.889 7.889
angles (deg): 27.89 27.89 27.89
Sites, in units of the cell vectors:
I 0.005 0.005 0.005
Nd 0.224 0.224 0.224
Er 0.777 0.777 0.777
C 0.494 0.494 0.494

Computed properties:
Calculated total energy, eV/atom: -5.741